Below is P2PtCS after structural relaxation, with properties calculated at the PBE level.

Cell: 4.5877 4.5877 4.9703 Å, 90.00 90.00 90.00°
With the nearest neighbours (Å) after each atom.
Space group P4/mmm (No. 123)
Asymmetric unit:
P: 0.0000 0.5000 0.0000 [2 per cell]  2 Pt 2.29
Pt: 0.0000 0.0000 0.0000 [1 per cell]  4 P 2.29, 2 S 2.49
C: 0.5000 0.5000 0.5000 [1 per cell]  4 S 3.24, 8 P 3.38
S: 0.0000 0.0000 0.5000 [1 per cell]  2 Pt 2.49

Computed properties:
**Offset from the most stable computed form**: 968.2 meV per atom
**Crystal system**: tetragonal
**E_form (uncorrected)**: 2.036 eV/atom